(1)
VASP calculation (PBE) on an optimized crystal structure of LiGa2Co.

abc: 4.184 4.184 4.184
angles: 60.00 60.00 60.00
Element x y z (fractional)
Ga  0.000  0.000  0.000
Co  0.250  0.250  0.250
Li  0.500  0.500  0.500
Ga  0.750  0.750  0.750

## Properties
**Space group**: No. 216
**Magnetic moment**: 0.19 Bohr magnetons per cell
**Electronic total energy**: -0.1402 Ha/atom
**V**: 51.8 Å³ per cell

***

(2)
VASP calculation (PBE) on an optimized crystal structure of ZrScGa2Fe4.

abc: 4.191 4.191 7.942
angles: 90.00 90.00 120.00
Element x y z (fractional)
Zr  0.333  0.667  0.500
Fe  0.000  0.000  0.669
Ga  0.667  0.333  0.756
Fe  0.333  0.667  0.821
Fe  0.333  0.667  0.179
Sc  0.000  0.000  0.000
Fe  0.000  0.000  0.331
Ga  0.667  0.333  0.244

## Properties
**Space group**: No. 187
**Magnetic moment**: 6.83 Bohr magnetons per cell
**Electronic total energy**: -0.2542 Ha/atom
**V**: 120.8 Å³ per cell

***

(3)
VASP calculation (PBE) on an optimized crystal structure of DyMgOs.

abc: 4.658 4.658 4.658
angles: 60.00 60.00 60.00
Element x y z (fractional)
Dy  0.000  0.000  0.000
Os  0.750  0.750  0.750
Mg  0.250  0.250  0.250

## Properties
**Space group**: No. 216
**Magnetic moment**: 0.00 Bohr magnetons per cell
**Electronic total energy**: -0.1801 Ha/atom
**V**: 71.5 Å³ per cell

***

(4)
VASP calculation (PBE) on an optimized crystal structure of Rb3PdF6.

abc: 6.275 6.275 6.275
angles: 60.00 60.00 60.00
Element x y z (fractional)
Rb  0.250  0.250  0.250
Pd  0.000  0.000  0.000
F  0.226  0.226  0.774
F  0.226  0.774  0.226
Rb  0.500  0.500  0.500
F  0.774  0.774  0.226
Rb  0.750  0.750  0.750
F  0.774  0.226  0.774
F  0.774  0.226  0.226
F  0.226  0.774  0.774

## Properties
**Space group**: No. 225
**Electronic total energy**: -0.1487 Ha/atom
**V**: 174.7 Å³ per cell

***

(5)
VASP calculation (PBE) on an optimized crystal structure of ZrGaCoAg.

abc: 4.517 4.517 4.517
angles: 60.00 60.00 60.00
Element x y z (fractional)
Zr  0.500  0.500  0.500
Ga  0.000  0.000  0.000
Ag  0.250  0.250  0.250
Co  0.750  0.750  0.750

## Properties
**Space group**: No. 216
**Magnetic moment**: 0.81 Bohr magnetons per cell
**Electronic total energy**: -0.2026 Ha/atom
**V**: 65.2 Å³ per cell
**Polymorph energy (0 for the lowest one)**: 0.000 eV/atom

***

(6)
VASP calculation (PBE) on an optimized crystal structure of DyLuBe.

abc: 4.724 4.724 4.724
angles: 60.00 60.00 60.00
Element x y z (fractional)
Dy  0.750  0.750  0.750
Lu  0.000  0.000  0.000
Be  0.250  0.250  0.250

## Properties
**Space group**: No. 216
**Magnetic moment**: 0.00 Bohr magnetons per cell
**Electronic total energy**: -0.1216 Ha/atom
**V**: 74.5 Å³ per cell

***

(7)
VASP calculation (PBE) on an optimized crystal structure of ZnNi7.

abc: 2.476 2.476 34.318
angles: 90.00 90.00 90.00
Element x y z (fractional)
Ni  0.500  0.000  0.474
Ni  0.000  0.500  0.526
Zn  0.000  0.500  0.114
Ni  0.000  0.500  0.321
Ni  0.000  0.500  0.833
Ni  0.500  0.000  0.372
Ni  0.500  0.000  0.679
Ni  0.500  0.000  0.167
Ni  0.000  0.500  0.731
Ni  0.000  0.500  0.423
Ni  0.500  0.000  0.577
Ni  0.000  0.500  0.218
Ni  0.500  0.000  0.782
Zn  0.500  0.000  0.886
Ni  0.500  0.000  0.269
Ni  0.000  0.500  0.628

## Properties
**Space group**: No. 129
**Magnetic moment**: 2.97 Bohr magnetons per cell
**ΔE_f**: 0.038 eV per atom
**Electronic total energy**: -0.1834 Ha/atom
**V**: 210.4 Å³ per cell

***

(8)
VASP calculation (PBE) on an optimized crystal structure of SnPd15.

abc: 3.913 43.168 3.914
angles: 90.00 90.05 90.00
Element x y z (fractional)
Pd  0.000  0.248  0.250
Pd  0.500  0.386  0.250
Pd  0.000  0.431  0.250
Pd  0.500  0.152  0.750
Pd  0.000  0.477  0.750
Pd  0.500  0.569  0.250
Pd  0.000  0.752  0.750
Pd  0.000  0.799  0.250
Sn  0.000  0.155  0.250
Pd  0.500  0.706  0.750
Pd  0.500  0.247  0.750
Pd  0.500  0.201  0.250
Pd  0.500  0.294  0.250
Pd  0.000  0.294  0.750
Pd  0.000  0.386  0.750
Pd  0.500  0.614  0.750
Pd  0.000  0.340  0.250
Pd  0.500  0.340  0.750
Pd  0.500  0.848  0.250
Pd  0.000  0.706  0.250
Pd  0.000  0.614  0.250
Pd  0.500  0.753  0.250
Pd  0.500  0.523  0.750
Pd  0.500  0.477  0.250
Pd  0.000  0.569  0.750
Pd  0.500  0.799  0.750
Pd  0.000  0.201  0.750
Pd  0.000  0.523  0.250
Pd  0.000  0.660  0.750
Pd  0.500  0.431  0.750
Sn  0.000  0.845  0.750
Pd  0.500  0.660  0.250

## Properties
**Space group**: No. 51
**Electronic total energy**: -0.1896 Ha/atom
**V**: 661.0 Å³ per cell
**Polymorph energy (0 for the lowest one)**: 0.000 eV/atom

***

(9)
VASP calculation (PBE) on an optimized crystal structure of ZrZnP3.

abc: 3.512 12.357 12.357
angles: 18.39 90.00 90.00
Element x y z (fractional)
Zn  0.000  0.381  0.381
P  0.500  0.549  0.549
P  0.000  0.049  0.049
P  0.000  0.954  0.954
P  0.000  0.286  0.286
P  0.000  0.718  0.718
Zr  0.500  0.199  0.199
Zr  0.500  0.805  0.805
P  0.500  0.454  0.454
Zn  0.000  0.623  0.623

## Properties
**Space group**: No. 65
**Magnetic moment**: 0.01 Bohr magnetons per cell
**Electronic total energy**: -0.1941 Ha/atom
**V**: 169.2 Å³ per cell

***

(10)
VASP calculation (PBE) on an optimized crystal structure of YTaNiB.

abc: 4.445 4.445 4.445
angles: 60.00 60.00 60.00
Element x y z (fractional)
B  0.000  0.000  0.000
Ta  0.250  0.250  0.250
Y  0.750  0.750  0.750
Ni  0.500  0.500  0.500

## Properties
**Space group**: No. 216
**Magnetic moment**: 1.04 Bohr magnetons per cell
**Electronic total energy**: -0.2711 Ha/atom
**V**: 62.1 Å³ per cell
**Polymorph energy (0 for the lowest one)**: 0.000 eV/atom

***

(11)
VASP calculation (PBE) on an optimized crystal structure of ZrAlNi.

abc: 4.281 4.281 4.281
angles: 60.00 60.00 60.00
Element x y z (fractional)
Ni  0.000  0.000  0.000
Al  0.250  0.250  0.250
Zr  0.750  0.750  0.750

## Properties
**Space group**: No. 216
**Magnetic moment**: 0.84 Bohr magnetons per cell
**Electronic total energy**: -0.2345 Ha/atom
**V**: 55.5 Å³ per cell

***

(12)
VASP calculation (PBE) on an optimized crystal structure of SmCdB.

abc: 4.685 4.685 4.685
angles: 60.00 60.00 60.00
Element x y z (fractional)
Sm  0.000  0.000  0.000
Cd  0.750  0.750  0.750
B  0.250  0.250  0.250

## Properties
**Space group**: No. 216
**Magnetic moment**: 0.00 Bohr magnetons per cell
**Electronic total energy**: -0.1180 Ha/atom
**V**: 72.7 Å³ per cell
**Polymorph energy (0 for the lowest one)**: 0.909 eV/atom